[1]
Computed, not measured: LiHo2Ge4Rh3 after structural relaxation at the PBE-GGA level of DFT.

The structure in POSCAR format:
```
LiHo2Ge4Rh3
1.0
4.203 0.000 0.000
0.000 4.203 0.000
0.000 0.000 10.137
Li Ho Ge Rh
1 2 4 3
Cartesian
0.000 0.000 0.000
0.000 2.101 7.539
2.101 0.000 2.599
0.000 0.000 5.069
0.000 2.101 1.344
2.101 0.000 8.793
2.101 2.101 5.069
0.000 2.101 3.762
2.101 0.000 6.375
2.101 2.101 0.000
```

SG	P-4m2 (115)
formation enthalpy at 0 K	-0.7396	eV/atom
DFT total energy	-5.899	eV per atom
Fermi-level density of states	5.47	states/eV/f.u.
total magnetization	0.00	μB/atom



[2]
Computed, not measured: NaPrInCu after structural relaxation at the PBE-GGA level of DFT.

The structure in POSCAR format:
```
NaPrInCu
1.0
7.089 0.000 0.000
0.000 7.089 0.000
0.000 0.000 7.089
Na Pr In Cu
4 4 4 4
Cartesian
0.000 0.000 0.000
0.000 3.544 3.544
3.544 0.000 3.544
3.544 3.544 0.000
1.772 1.772 1.772
1.772 5.317 5.317
5.317 1.772 5.317
5.317 5.317 1.772
1.772 1.772 5.317
1.772 5.317 1.772
5.317 1.772 1.772
5.317 5.317 5.317
0.000 0.000 3.544
0.000 3.544 0.000
3.544 0.000 0.000
3.544 3.544 3.544
```

SG	F-43m (216)
formation enthalpy at 0 K	-0.1411	eV/atom
DFT total energy	-3.374	eV per atom
Fermi-level density of states	1.73	states/eV/f.u.
total magnetization	0.00	μB/atom



[3]
Computed, not measured: SrI2Br6 after structural relaxation at the PBE-GGA level of DFT.

The structure in POSCAR format:
```
SrI2Br6
1.0
9.633 -5.943 0.000
9.633 5.943 0.000
-3.400 0.000 7.588
Sr I Br
2 4 12
Cartesian
7.083 5.932 5.691
8.783 -5.932 1.897
5.643 1.922 2.657
11.924 1.922 1.137
3.943 -1.922 6.451
10.223 -1.922 4.931
0.457 1.301 4.786
4.866 4.271 6.987
9.301 4.271 4.396
2.157 -1.301 0.992
6.544 0.033 0.769
4.844 -0.033 4.563
11.023 0.033 3.025
9.323 -0.033 6.819
13.710 1.301 6.596
6.566 -4.271 3.193
11.001 -4.271 0.602
15.410 -1.301 2.802
```

SG	C2/c (15)
DFT total energy	-2.275	eV per atom
raw formation energy	-628	meV/atom
Fermi-level density of states	1.20	states/eV/f.u.
total magnetization	0.00	μB/atom



[4]
Computed, not measured: PrSmCoCu after structural relaxation at the PBE-GGA level of DFT.

The structure in POSCAR format:
```
PrSmCoCu
1.0
7.032 0.000 0.000
0.000 7.032 0.000
0.000 0.000 7.032
Pr Sm Co Cu
4 4 4 4
Cartesian
0.000 0.000 0.000
0.000 3.516 3.516
3.516 0.000 3.516
3.516 3.516 0.000
0.000 0.000 3.516
0.000 3.516 0.000
3.516 0.000 0.000
3.516 3.516 3.516
1.758 1.758 5.274
1.758 5.274 1.758
5.274 1.758 1.758
5.274 5.274 5.274
1.758 1.758 1.758
1.758 5.274 5.274
5.274 1.758 5.274
5.274 5.274 1.758
```

SG	F-43m (216)
formation enthalpy at 0 K	-0.0487	eV/atom
DFT total energy	-5.224	eV per atom
Fermi-level density of states	4.21	states/eV/f.u.
total magnetization	0.09	μB/atom
distance to the lowest polymorph of the same formula	57.0	meV/atom



[5]
Computed, not measured: BaHfB3 after structural relaxation at the PBE-GGA level of DFT.

The structure in POSCAR format:
```
BaHfB3
1.0
4.533 0.000 0.000
0.000 4.533 0.000
0.000 0.000 4.533
Ba Hf B
1 1 3
Cartesian
0.000 0.000 0.000
2.266 2.266 2.266
0.000 0.000 2.266
0.000 2.266 0.000
2.266 0.000 0.000
```

SG	Pm-3m (221)
formation enthalpy at 0 K	2.6633	eV/atom
DFT total energy	-3.718	eV per atom
Fermi-level density of states	4.77	states/eV/f.u.
total magnetization	0.00	μB/atom
distance to the lowest polymorph of the same formula	1755.4	meV/atom



[6]
Computed, not measured: PRh after structural relaxation at the PBE-GGA level of DFT.

The structure in POSCAR format:
```
PRh
1.0
9.720 0.000 0.000
0.000 9.720 0.000
0.000 0.000 3.473
P Rh
8 8
Cartesian
0.890 6.769 0.000
1.909 3.970 1.736
2.951 0.890 0.000
3.970 7.811 1.736
5.750 1.909 1.736
6.769 8.830 0.000
7.811 5.750 1.736
8.830 2.951 0.000
1.332 2.652 0.000
2.208 6.192 1.736
2.652 8.388 0.000
3.528 2.208 1.736
6.192 7.512 1.736
7.068 1.332 0.000
7.512 3.528 1.736
8.388 7.068 0.000
```

SG	I4/m (87)
formation enthalpy at 0 K	-0.4290	eV/atom
DFT total energy	-6.810	eV per atom
Fermi-level density of states	0.46	states/eV/f.u.
total magnetization	0.00	μB/atom



[7]
Computed, not measured: Rb2LiAg after structural relaxation at the PBE-GGA level of DFT.

The structure in POSCAR format:
```
Rb2LiAg
1.0
13.002 0.000 0.000
0.000 13.002 0.000
0.000 0.000 5.270
Rb Li Ag
8 4 4
Cartesian
1.184 3.250 0.659
3.250 7.685 1.976
3.250 11.818 4.611
5.317 3.250 3.294
7.685 9.751 3.294
9.751 1.184 4.611
9.751 5.317 1.976
11.818 9.751 0.659
0.000 0.000 2.635
0.000 6.501 3.953
6.501 0.000 1.318
6.501 6.501 0.000
0.000 0.000 0.000
0.000 6.501 1.318
6.501 0.000 3.953
6.501 6.501 2.635
```

SG	I-42d (122)
formation enthalpy at 0 K	0.1272	eV/atom
DFT total energy	-1.548	eV per atom
Fermi-level density of states	0.31	states/eV/f.u.
total magnetization	0.00	μB/atom
distance to the lowest polymorph of the same formula	0.0	meV/atom



[8]
Computed, not measured: MnFe after structural relaxation at the PBE-GGA level of DFT.

The structure in POSCAR format:
```
MnFe
1.0
0.000 3.602 4.375
3.133 0.000 4.375
3.133 3.602 0.000
Mn Fe
4 4
Cartesian
2.350 0.382 3.281
3.916 2.183 5.469
2.350 5.020 3.281
3.916 6.821 5.469
3.411 2.701 3.281
4.978 4.502 5.469
1.288 2.701 3.281
2.855 4.502 5.469
```

SG	Fddd (70)
formation enthalpy at 0 K	0.5948	eV/atom
DFT total energy	-8.221	eV per atom
Fermi-level density of states	1.92	states/eV/f.u.
total magnetization	0.98	μB/atom



[9]
Computed, not measured: Nd3HgIr after structural relaxation at the PBE-GGA level of DFT.

The structure in POSCAR format:
```
Nd3HgIr
1.0
5.844 0.000 0.000
-2.740 6.269 0.000
-1.708 -2.459 7.878
Nd Hg Ir
6 2 2
Cartesian
-0.730 0.474 2.461
-0.714 4.927 0.944
-0.663 0.970 6.013
2.059 2.840 1.865
2.110 -1.117 6.933
2.126 3.335 5.417
-0.816 3.488 3.848
2.212 0.321 4.030
-0.785 -1.299 7.753
2.181 5.109 0.125
```

SG	P-1 (2)
formation enthalpy at 0 K	-0.4920	eV/atom
DFT total energy	-5.185	eV per atom
Fermi-level density of states	4.30	states/eV/f.u.
total magnetization	0.00	μB/atom
distance to the lowest polymorph of the same formula	26.3	meV/atom